Entry from Alexandria via LeMat-Bulk: a relaxed Rb2VF crystal (PBE with a Hubbard U).

Cell lengths 8.309, 8.309, 10.265 Å; angles 90.00, 90.00, 90.00 degrees
Space group I-42d (No. 122)
Unique sites:
Rb  0.127  0.250  0.125 [8 per cell]
V  0.000  0.000  0.500 [4 per cell]
F  0.000  0.000  0.000 [4 per cell]

Properties
raw total energy = -3.140 eV per atom
total magnetic moment = 16.2 μB/cell